1.
The following is a PBE-GGA calculation of a relaxed structure of ErZr2Rh3, from Alexandria via LeMat-Bulk.

electronic total energy = -48.6 eV per formula unit
space group = No. 123
DOS at the Fermi energy = 5.8 states/eV/f.u.
crystal system = tetragonal
ΔH_f (0 K) = -0.822 eV/atom

a b c (Å): 3.3022 3.3022 10.2399
angles (deg): 90.00 90.00 90.00
Closest atoms and distances in Å follow each position.
Fractional coordinates of all 6 atoms:
Er (0.5000, 0.5000, 0.5000)  8 Rh 3.00, 4 Er 3.30
Zr (0.5000, 0.5000, 0.8357)  8 Rh 2.81-2.88
Zr (0.5000, 0.5000, 0.1643)  8 Rh 2.81-2.88
Rh (0.0000, 0.0000, 0.0000)  8 Zr 2.88
Rh (0.0000, 0.0000, 0.6836)  4 Zr 2.81, 4 Er 3.00
Rh (0.0000, 0.0000, 0.3164)  4 Zr 2.81, 4 Er 3.00

2.
The following is a PBE-GGA calculation of a relaxed structure of ErZr4Rh5, from Alexandria via LeMat-Bulk.

electronic total energy = -83.5 eV per formula unit
space group = No. 123
DOS at the Fermi energy = 6.2 states/eV/f.u.
crystal system = tetragonal
ΔH_f (0 K) = -0.802 eV/atom

a b c (Å): 3.3217 3.3217 16.5965
angles (deg): 90.00 90.00 90.00
Closest atoms and distances in Å follow each position.
Fractional coordinates of all 10 atoms:
Er (0.0000, 0.0000, 0.0000)  8 Rh 2.97, 4 Er 3.32
Zr (0.0000, 0.0000, 0.2035)  8 Rh 2.82-2.87
Zr (0.0000, 0.0000, 0.4017)  8 Rh 2.86
Zr (0.0000, 0.0000, 0.5983)  8 Rh 2.86
Zr (0.0000, 0.0000, 0.7965)  8 Rh 2.82-2.87
Rh (0.5000, 0.5000, 0.1099)  4 Zr 2.82, 4 Er 2.97
Rh (0.5000, 0.5000, 0.3030)  8 Zr 2.86-2.87, 1 Rh 3.20
Rh (0.5000, 0.5000, 0.5000)  8 Zr 2.86
Rh (0.5000, 0.5000, 0.6970)  8 Zr 2.86-2.87, 1 Rh 3.20
Rh (0.5000, 0.5000, 0.8901)  4 Zr 2.82, 4 Er 2.97

3.
The following is a PBE-GGA calculation of a relaxed structure of Er2ZrRh3, from Alexandria via LeMat-Bulk.

electronic total energy = -45.0 eV per formula unit
space group = No. 123
DOS at the Fermi energy = 3.7 states/eV/f.u.
crystal system = tetragonal
ΔH_f (0 K) = -0.885 eV/atom
distance to the lowest polymorph of the same formula = 0.000 eV per atom

a b c (Å): 3.3845 3.3845 10.0068
angles (deg): 90.00 90.00 90.00
Closest atoms and distances in Å follow each position.
Fractional coordinates of all 6 atoms:
Er (0.5000, 0.5000, 0.8328)  8 Rh 2.92-2.99
Er (0.5000, 0.5000, 0.1672)  8 Rh 2.92-2.99
Zr (0.5000, 0.5000, 0.5000)  8 Rh 2.84
Rh (0.0000, 0.0000, 0.0000)  8 Er 2.92
Rh (0.0000, 0.0000, 0.6534)  4 Zr 2.84, 4 Er 2.99, 1 Rh 3.07
Rh (0.0000, 0.0000, 0.3466)  4 Zr 2.84, 4 Er 2.99, 1 Rh 3.07

4.
The following is a PBE-GGA calculation of a relaxed structure of ErZr5Rh6, from Alexandria via LeMat-Bulk.

electronic total energy = -100.8 eV per formula unit
space group = No. 10
DOS at the Fermi energy = 10.4 states/eV/f.u.
crystal system = monoclinic
ΔH_f (0 K) = -0.785 eV/atom

a b c (Å): 4.6805 6.6581 7.3911
angles (deg): 90.00 71.81 90.00
Closest atoms and distances in Å follow each position.
Fractional coordinates of all 12 atoms:
Rh (0.8288, 0.7463, 0.3422)  7 Zr 2.81-2.91, 1 Er 2.94
Rh (0.8288, 0.2537, 0.3422)  7 Zr 2.81-2.91, 1 Er 2.94
Rh (0.5000, 0.2576, 0.0000)  6 Zr 2.84-2.91, 2 Er 2.90
Rh (0.5000, 0.7424, 0.0000)  6 Zr 2.84-2.91, 2 Er 2.90
Rh (0.1712, 0.7463, 0.6578)  7 Zr 2.81-2.91, 1 Er 2.94
Rh (0.1712, 0.2537, 0.6578)  7 Zr 2.81-2.91, 1 Er 2.94
Zr (0.6665, 0.5000, 0.6677)  8 Rh 2.81-2.86
Zr (0.3326, 0.0000, 0.3346)  8 Rh 2.83-2.91
Zr (0.0000, 0.5000, 0.0000)  8 Rh 2.84-2.91
Zr (0.6674, 0.0000, 0.6654)  8 Rh 2.83-2.91
Zr (0.3335, 0.5000, 0.3323)  8 Rh 2.81-2.86
Er (0.0000, 0.0000, 0.0000)  8 Rh 2.90-2.94

Which formula does entry 3 have?
Er2ZrRh3

What is the formula in the third record?
Er2ZrRh3